Record 1
Material: Mn3HgF
Method: DFT, GGA+U
State: optimized geometry

abc: 4.4974 4.4974 4.4974
angles: 90.00 90.00 90.00
Closest atoms and distances in Å follow each position.
Space group Pm-3m (No. 221)
One atom of each set of equivalent atoms:
Mn (0.0000, 0.0000, 0.5000) x3  2 F 2.25
Hg (0.5000, 0.5000, 0.5000) x1  12 Mn 3.18
F (0.0000, 0.0000, 0.0000) x1  6 Mn 2.25

* DOS(E_F): 0.9 states/eV per cell
* calculated volume: 18.2 A^3/atom
* size of the total moment: 14.03 μB per cell

=====

Record 2
Material: MnHgF
Method: DFT, GGA+U
State: optimized geometry

abc: 5.8679 3.3832 11.1186
angles: 90.00 100.12 90.00
Closest atoms and distances in Å follow each position.
Space group C2/m (No. 12)
One atom of each set of equivalent atoms:
Mn (0.1031, 0.0000, 0.3116) x4  3 F 2.18
Hg (0.1291, 0.5000, 0.8866) x4  3 Mn 2.92, 3 Hg 3.16
F (0.2009, 0.0000, 0.6011) x4  3 Mn 2.18

* DOS(E_F): 4.5 states/eV per cell
* calculated volume: 18.1 A^3/atom
* size of the total moment: 18.83 μB per cell

=====

Record 3
Material: Mn2HgF8
Method: DFT, GGA+U
State: optimized geometry

abc: 9.3794 5.3543 7.9790
angles: 90.00 98.13 90.00
Closest atoms and distances in Å follow each position.
Space group C2/m (No. 12)
One atom of each set of equivalent atoms:
Mn (0.1248, 0.0000, 0.3956) x4  5 F 1.80-1.99
Hg (0.0000, 0.0000, 0.0000) x2  4 F 2.24
F (0.0830, 0.0000, 0.6327) x4  2 Mn 1.93-1.99
F (0.1151, 0.2400, 0.2061) x8  1 Mn 1.98
F (0.1830, 0.5000, 0.5416) x4  1 Mn 1.80

* calculated volume: 18.0 A^3/atom
* size of the total moment: 16.06 μB per cell

=====

Record 4
Material: Mn2Hg2F7
Method: DFT, GGA+U
State: optimized geometry

abc: 6.8591 8.1677 5.5043
angles: 90.00 90.00 90.00
Closest atoms and distances in Å follow each position.
Space group Cmmm (No. 65)
One atom of each set of equivalent atoms:
Mn (0.0000, 0.2232, 0.0000) x4  7 F 2.19-2.26
Hg (0.2062, 0.5000, 0.5000) x4  6 F 2.47-2.50
F (0.0000, 0.0000, 0.2393) x4  2 Mn 2.25, 2 Hg 2.47
F (0.0000, 0.5000, 0.0000) x2  2 Mn 2.26
F (0.2500, 0.2500, 0.2437) x8  2 Mn 2.19

* DOS(E_F): 4.2 states/eV per cell
* calculated volume: 14.0 A^3/atom
* size of the total moment: 19.68 μB per cell

=====

Record 5
Material: MnHgF3
Method: DFT, GGA+U
State: optimized geometry

abc: 4.5788 4.5788 4.5788
angles: 90.00 90.00 90.00
Closest atoms and distances in Å follow each position.
Space group Pm-3m (No. 221)
One atom of each set of equivalent atoms:
Mn (0.0000, 0.0000, 0.0000) x1  12 F 3.24
Hg (0.5000, 0.5000, 0.5000) x1  6 F 2.29
F (0.0000, 0.5000, 0.5000) x3  2 Hg 2.29

* DOS(E_F): 1.4 states/eV per cell
* calculated volume: 19.2 A^3/atom
* size of the total moment: 5.82 μB per cell

=====

Record 6
Material: Mn6Hg4F19
Method: DFT, GGA+U
State: optimized geometry

abc: 9.6402 9.6402 9.6402
angles: 90.00 90.00 90.00
Closest atoms and distances in Å follow each position.
Space group I23 (No. 197)
One atom of each set of equivalent atoms:
Mn (0.0000, 0.1699, 0.5000) x12  6 F 2.12-2.16
Hg (0.1442, 0.1442, 0.1442) x8  4 F 2.36-2.41
F (0.0000, 0.0000, 0.0000) x2  4 Hg 2.41
F (0.0000, 0.0000, 0.3544) x12  2 Mn 2.16
F (0.0421, 0.2850, 0.3158) x24  2 Mn 2.12-2.13, 1 Hg 2.36

* DOS(E_F): 8.2 states/eV per cell
* calculated volume: 15.4 A^3/atom
* size of the total moment: 59.51 μB per cell

=====

Record 7
Material: Mn2HgF
Method: DFT, GGA+U
State: optimized geometry

abc: 6.6906 6.6906 6.6906
angles: 90.00 90.00 90.00
Closest atoms and distances in Å follow each position.
Space group Fm-3m (No. 225)
One atom of each set of equivalent atoms:
Mn (0.2500, 0.2500, 0.2500) x8  4 Hg 2.90, 4 F 2.90
Hg (0.0000, 0.0000, 0.0000) x4  8 Mn 2.90
F (0.0000, 0.0000, 0.5000) x4  8 Mn 2.90

* DOS(E_F): 7.1 states/eV per cell
* calculated volume: 18.7 A^3/atom
* size of the total moment: 38.52 μB per cell

=====

Record 8
Material: MnHgF3
Method: DFT, GGA+U
State: optimized geometry

abc: 4.0225 16.8709 6.0212
angles: 90.00 90.00 90.00
Closest atoms and distances in Å follow each position.
Space group Ama2 (No. 40)
One atom of each set of equivalent atoms:
Mn (0.2500, 0.0831, 0.0000) x4  5 F 2.02-2.23
Hg (0.2500, 0.3098, 0.0073) x4  5 F 2.56-2.64
F (0.2500, 0.1276, 0.3114) x4  1 Mn 2.02
F (0.2500, 0.1782, 0.7890) x4  1 Mn 2.05
F (0.2500, 0.4513, 0.4678) x4  3 Mn 2.10-2.23

* DOS(E_F): 5.0 states/eV per cell
* calculated volume: 20.4 A^3/atom
* size of the total moment: 19.88 μB per cell

=====

These records have raw total energy values of -25.4; -13.0; -52.1; -50.5; -19.0; -142.8; -18.1; -22.7 eV/f.u., in the order they appear.